Material: RbVCd2F8
Method: DFT, GGA+U
State: optimized geometry

Cell lengths 5.1038, 5.1824, 7.3501 Å; angles 91.59, 90.98, 88.94 degrees
Closest atoms and distances in Å follow each position.
Positions (direct):
F (0.5787, 0.7285, 0.5039)  2 Cd 2.26, 1 F 2.51
F (0.6978, 0.7421, 0.0022)  1 V 2.06
F (0.8410, 0.2273, 0.1887)  1 V 1.97
F (0.8250, 0.2130, 0.8158)  1 V 1.96
F (0.3022, 0.2579, 0.9978)  1 V 2.06
F (0.4213, 0.2715, 0.4961)  2 Cd 2.26, 1 F 2.51
F (0.1590, 0.7727, 0.8113)  1 V 1.97
F (0.1750, 0.7870, 0.1842)  1 V 1.96
Rb (0.0000, 0.0000, 0.5000)  6 F 2.59-2.71
V (0.0000, 0.0000, 0.0000)  6 F 1.96-2.06
Cd (0.4980, 0.4974, 0.2451)  6 F 2.26-2.46
Cd (0.5020, 0.5026, 0.7549)  6 F 2.26-2.46

Calculated values
Its space group is No. 2. Its total magnetization is 0.17 μB per atom. The calculation puts the total energy at -4.586 eV/atom.